VASP calculation (PBE) on a geometry-optimized AgH4Pd8S structure.

Computed properties:
Mass density   8.7 Mg/m³
Energy   -4.356 eV/atom

Cell: 5.5420 5.5420 21.3733 Å, 90.00 90.00 120.00°
Space group R3m (No. 160, hexagonal axes)
Symmetry-distinct sites (fractional):
Ag1 0.0000 0.0000 0.0000 x3
H1 0.0000 0.0000 0.3058 x3
H2 0.1838 0.3676 0.4939 x9
Pd1 0.0000 0.0000 0.4872 x3
Pd2 0.0000 0.0000 0.8785 x3
Pd3 0.1680 0.3361 0.2693 x9
Pd4 0.1688 0.3377 0.7710 x9
S1 0.0000 0.0000 0.6865 x3



VASP calculation (PBE) on a geometry-optimized SrBe2Pt structure.

Computed properties:
Mass density   6.7 Mg/m³
ΔE to the lowest computed polymorph   0.0 meV per atom

Cell: 6.9902 3.9967 5.7676 Å, 90.00 113.31 90.00°
Space group C2/m (No. 12)
Symmetry-distinct sites (fractional):
Sr1 0.0000 0.0000 0.0000 x2
Be1 0.1838 0.0000 0.5470 x4
Pt1 0.0000 0.5000 0.5000 x2



Q: Which of these has the lowest mass density?
A: SrBe2Pt



Q: mass density of number 2 (SrBe2Pt)?
A: 6.7 Mg/m³



Q: Which formula does entry 1 have?
A: AgH4Pd8S